# BaMg4Cd (GGA-PBE, relaxed)
data_BaMg4Cd
_cell_length_a 4.718
_cell_length_b 8.283
_cell_length_c 8.925
_cell_angle_alpha 90.00
_cell_angle_beta 90.00
_cell_angle_gamma 90.00
_space_group_name_H-M_alt 'P 1'
_space_group_IT_number 1
loop_
_space_group_symop_operation_xyz
'x,y,z'
loop_
_atom_site_label
_atom_site_fract_x
_atom_site_fract_y
_atom_site_fract_z
Mg1 0.500 0.288 0.560
Mg2 0.500 0.712 0.440
Mg3 0.500 0.288 0.940
Mg4 0.000 0.000 0.500
Mg5 0.500 0.712 0.060
Mg6 0.500 0.045 0.250
Mg7 0.000 0.000 0.000
Mg8 0.500 0.955 0.750
Cd1 0.000 0.202 0.750
Cd2 0.000 0.798 0.250
Ba1 0.000 0.614 0.750
Ba2 0.000 0.386 0.250
# magnetic moment	0.0	μB per cell
# energy of formation	-0.10	eV/atom
# E above lowest polymorph	0.0	meV per atom
# total DFT energy (no corrections)	-1.64	eV/atom


# CaZrW2 (GGA-PBE, relaxed)
data_CaZrW2
_cell_length_a 4.841
_cell_length_b 4.841
_cell_length_c 4.841
_cell_angle_alpha 60.00
_cell_angle_beta 60.00
_cell_angle_gamma 60.00
_space_group_name_H-M_alt 'P 1'
_space_group_IT_number 1
loop_
_space_group_symop_operation_xyz
'x,y,z'
loop_
_atom_site_label
_atom_site_fract_x
_atom_site_fract_y
_atom_site_fract_z
Ca1 0.000 0.000 0.000
Zr1 0.500 0.500 0.500
W1 0.750 0.750 0.750
W2 0.250 0.250 0.250
# magnetic moment	0.0	μB per cell
# energy of formation	1.01	eV/atom
# E above lowest polymorph	610.9	meV per atom
# total DFT energy (no corrections)	-8.10	eV/atom


# PrPuTeP (GGA-PBE, relaxed)
data_PrPuTeP
_cell_length_a 4.249
_cell_length_b 4.249
_cell_length_c 7.585
_cell_angle_alpha 73.74
_cell_angle_beta 73.74
_cell_angle_gamma 60.00
_space_group_name_H-M_alt 'P 1'
_space_group_IT_number 1
loop_
_space_group_symop_operation_xyz
'x,y,z'
loop_
_atom_site_label
_atom_site_fract_x
_atom_site_fract_y
_atom_site_fract_z
Te1 0.754 0.754 0.739
P1 0.246 0.246 0.261
Pu1 0.511 0.511 0.467
Pr1 0.989 0.989 0.033
# magnetic moment	5.6	μB per cell
# energy relative to the elements, uncorrected	-1.349	eV per atom
# total DFT energy (no corrections)	-8.26	eV/atom


# Cr5Os4 (GGA-PBE, relaxed)
data_Cr5Os4
_cell_length_a 7.236
_cell_length_b 7.236
_cell_length_c 5.236
_cell_angle_alpha 90.00
_cell_angle_beta 90.00
_cell_angle_gamma 60.00
_space_group_name_H-M_alt 'P 1'
_space_group_IT_number 1
loop_
_space_group_symop_operation_xyz
'x,y,z'
loop_
_atom_site_label
_atom_site_fract_x
_atom_site_fract_y
_atom_site_fract_z
Cr1 0.000 0.669 0.750
Cr2 0.333 0.333 0.000
Cr3 0.667 0.667 0.000
Cr4 0.667 0.667 0.500
Cr5 0.331 0.000 0.750
Cr6 0.669 0.331 0.750
Cr7 0.331 0.669 0.250
Cr8 0.669 0.000 0.250
Cr9 0.000 0.331 0.250
Cr10 0.333 0.333 0.500
Os1 0.340 0.660 0.750
Os2 0.000 0.660 0.250
Os3 0.660 0.000 0.750
Os4 0.660 0.340 0.250
Os5 0.000 0.340 0.750
Os6 0.340 0.000 0.250
Os7 0.000 0.000 0.000
Os8 0.000 0.000 0.500
# magnetic moment	0.1	μB per cell
# energy of formation	0.21	eV/atom
# E above lowest polymorph	53.7	meV per atom
# total DFT energy (no corrections)	-10.12	eV/atom


# CrP2Au (GGA-PBE, relaxed)
data_CrP2Au
_cell_length_a 3.239
_cell_length_b 3.239
_cell_length_c 5.730
_cell_angle_alpha 90.00
_cell_angle_beta 90.00
_cell_angle_gamma 90.00
_space_group_name_H-M_alt 'P 1'
_space_group_IT_number 1
loop_
_space_group_symop_operation_xyz
'x,y,z'
loop_
_atom_site_label
_atom_site_fract_x
_atom_site_fract_y
_atom_site_fract_z
P1 0.500 0.500 0.246
P2 0.000 0.000 0.924
Cr1 0.500 0.500 0.847
Au1 0.000 0.000 0.483
# magnetic moment	0.9	μB per cell
# energy of formation	0.16	eV/atom
# E above lowest polymorph	145.4	meV per atom
# total DFT energy (no corrections)	-5.77	eV/atom


# NaScCu2I6 (GGA-PBE, relaxed)
data_NaScCu2I6
_cell_length_a 7.522
_cell_length_b 9.570
_cell_length_c 9.570
_cell_angle_alpha 87.61
_cell_angle_beta 83.70
_cell_angle_gamma 83.70
_space_group_name_H-M_alt 'P 1'
_space_group_IT_number 1
loop_
_space_group_symop_operation_xyz
'x,y,z'
loop_
_atom_site_label
_atom_site_fract_x
_atom_site_fract_y
_atom_site_fract_z
I1 0.375 0.546 0.712
I2 0.860 0.024 0.229
I3 0.875 0.712 0.546
I4 0.140 0.976 0.771
I5 0.598 0.141 0.622
I6 0.902 0.378 0.859
I7 0.098 0.622 0.141
I8 0.125 0.288 0.454
I9 0.402 0.859 0.378
I10 0.625 0.454 0.288
I11 0.640 0.771 0.976
I12 0.360 0.229 0.024
Cu1 0.299 0.411 0.240
Cu2 0.701 0.589 0.760
Cu3 0.201 0.760 0.589
Cu4 0.799 0.240 0.411
Na1 0.250 0.916 0.084
Na2 0.750 0.084 0.916
Sc1 0.750 0.734 0.266
Sc2 0.250 0.266 0.734
# magnetic moment	0.0	μB per cell
# energy relative to the elements, uncorrected	-0.761	eV per atom
# total DFT energy (no corrections)	-3.28	eV/atom


# Ga3IrPd (GGA-PBE, relaxed)
data_Ga3IrPd
_cell_length_a 6.846
_cell_length_b 5.895
_cell_length_c 9.172
_cell_angle_alpha 90.00
_cell_angle_beta 63.27
_cell_angle_gamma 90.00
_space_group_name_H-M_alt 'P 1'
_space_group_IT_number 1
loop_
_space_group_symop_operation_xyz
'x,y,z'
loop_
_atom_site_label
_atom_site_fract_x
_atom_site_fract_y
_atom_site_fract_z
Pd1 0.003 0.750 0.500
Pd2 0.997 0.250 0.500
Pd3 0.497 0.250 0.000
Pd4 0.503 0.750 0.000
Ga1 0.750 0.500 0.750
Ga2 0.267 0.995 0.589
Ga3 0.233 0.005 0.911
Ga4 0.233 0.495 0.911
Ga5 0.767 0.995 0.089
Ga6 0.267 0.505 0.589
Ga7 0.750 0.000 0.750
Ga8 0.250 0.500 0.250
Ga9 0.733 0.005 0.411
Ga10 0.733 0.495 0.411
Ga11 0.767 0.505 0.089
Ga12 0.250 0.000 0.250
Ir1 0.989 0.250 0.829
Ir2 0.011 0.750 0.171
Ir3 0.511 0.750 0.671
Ir4 0.489 0.250 0.329
# magnetic moment	0.0	μB per cell
# energy of formation	-0.45	eV/atom
# E above lowest polymorph	0.0	meV per atom
# total DFT energy (no corrections)	-5.08	eV/atom


# CaPmPrZn (GGA-PBE, relaxed)
data_CaPmPrZn
_cell_length_a 3.643
_cell_length_b 3.643
_cell_length_c 9.353
_cell_angle_alpha 90.00
_cell_angle_beta 90.00
_cell_angle_gamma 90.00
_space_group_name_H-M_alt 'P 1'
_space_group_IT_number 1
loop_
_space_group_symop_operation_xyz
'x,y,z'
loop_
_atom_site_label
_atom_site_fract_x
_atom_site_fract_y
_atom_site_fract_z
Pr1 0.500 0.500 0.804
Ca1 0.000 0.000 0.126
Pm1 0.000 0.000 0.524
Zn1 0.500 0.500 0.330
# magnetic moment	0.0	μB per cell
# energy of formation	-0.12	eV/atom
# E above lowest polymorph	0.0	meV per atom
# total DFT energy (no corrections)	-3.32	eV/atom


# Pu3NpNb2N6 (GGA-PBE, relaxed)
data_Pu3NpNb2N6
_cell_length_a 5.776
_cell_length_b 5.776
_cell_length_c 5.796
_cell_angle_alpha 99.55
_cell_angle_beta 99.55
_cell_angle_gamma 120.01
_space_group_name_H-M_alt 'P 1'
_space_group_IT_number 1
loop_
_space_group_symop_operation_xyz
'x,y,z'
loop_
_atom_site_label
_atom_site_fract_x
_atom_site_fract_y
_atom_site_fract_z
Np1 0.000 0.000 0.000
N1 0.581 0.924 0.772
N2 0.924 0.581 0.772
N3 0.266 0.266 0.772
N4 0.076 0.419 0.228
N5 0.419 0.076 0.228
N6 0.734 0.734 0.228
Pu1 0.500 0.500 0.500
Pu2 0.832 0.168 0.500
Pu3 0.168 0.832 0.500
Nb1 0.667 0.333 0.000
Nb2 0.333 0.667 0.000
# magnetic moment	11.4	μB per cell
# energy relative to the elements, uncorrected	-1.194	eV per atom
# total DFT energy (no corrections)	-11.70	eV/atom


# AcPaHg2 (GGA-PBE, relaxed)
data_AcPaHg2
_cell_length_a 5.511
_cell_length_b 5.511
_cell_length_c 5.511
_cell_angle_alpha 60.00
_cell_angle_beta 60.00
_cell_angle_gamma 60.00
_space_group_name_H-M_alt 'P 1'
_space_group_IT_number 1
loop_
_space_group_symop_operation_xyz
'x,y,z'
loop_
_atom_site_label
_atom_site_fract_x
_atom_site_fract_y
_atom_site_fract_z
Ac1 0.000 0.000 0.000
Hg1 0.750 0.750 0.750
Hg2 0.250 0.250 0.250
Pa1 0.500 0.500 0.500
# magnetic moment	2.7	μB per cell
# energy of formation	0.02	eV/atom
# E above lowest polymorph	86.8	meV per atom
# total DFT energy (no corrections)	-3.53	eV/atom


# MgTl2Re (GGA-PBE, relaxed)
data_MgTl2Re
_cell_length_a 7.307
_cell_length_b 7.307
_cell_length_c 4.787
_cell_angle_alpha 70.95
_cell_angle_beta 70.95
_cell_angle_gamma 23.22
_space_group_name_H-M_alt 'P 1'
_space_group_IT_number 1
loop_
_space_group_symop_operation_xyz
'x,y,z'
loop_
_atom_site_label
_atom_site_fract_x
_atom_site_fract_y
_atom_site_fract_z
Tl1 0.058 0.058 0.942
Tl2 0.260 0.260 0.240
Re1 0.752 0.752 0.748
Mg1 0.430 0.430 0.570
# magnetic moment	0.0	μB per cell
# energy of formation	0.59	eV/atom
# E above lowest polymorph	0.0	meV per atom
# total DFT energy (no corrections)	-4.11	eV/atom


# GaMoSe (GGA-PBE, relaxed)
data_GaMoSe
_cell_length_a 3.175
_cell_length_b 6.970
_cell_length_c 8.427
_cell_angle_alpha 38.75
_cell_angle_beta 79.14
_cell_angle_gamma 76.84
_space_group_name_H-M_alt 'P 1'
_space_group_IT_number 1
loop_
_space_group_symop_operation_xyz
'x,y,z'
loop_
_atom_site_label
_atom_site_fract_x
_atom_site_fract_y
_atom_site_fract_z
Se1 0.378 0.649 0.596
Se2 0.622 0.351 0.404
Mo1 0.259 0.222 0.259
Mo2 0.741 0.778 0.741
Ga1 0.093 0.871 0.944
Ga2 0.907 0.129 0.056
# magnetic moment	0.0	μB per cell
# energy relative to the elements, uncorrected	-0.239	eV per atom
# total DFT energy (no corrections)	-6.02	eV/atom


Question: Among the records above, which one has the highest total DFT energy (no corrections)?
Answer: BaMg4Cd


Question: Look up the total DFT energy (no corrections) of the eighth one.
Answer: -3.32 eV/atom


Question: Which formula does entry 3 have?
Answer: PrPuTeP


Question: Look up the magnetic moment of the ninth one.
Answer: 11.4 μB per cell